The following is a GGA-PBE calculation of Sm3InB2Pt9 after structural relaxation, from the Alexandria database.

Unit cell a=5.8077 b=5.8077 c=9.5126 alpha=90.00 beta=90.00 gamma=120.00
With the nearest neighbours (Å) after each atom.
Element x y z (fractional)
Sm (0.0000, 0.0000, 0.0000)  12 Pt 2.90-3.12
Sm (0.3333, 0.6667, 0.6254)  6 Pt 3.05
Sm (0.6667, 0.3333, 0.3746)  6 Pt 3.05
In (0.0000, 0.0000, 0.5000)  6 Pt 2.70
B (0.3333, 0.6667, 0.1438)  6 Pt 2.10-2.16
B (0.6667, 0.3333, 0.8562)  6 Pt 2.10-2.16
Pt (0.0000, 0.5000, 0.0000)  2 B 2.16
Pt (0.1662, 0.3323, 0.2765)  1 B 2.10
Pt (0.1662, 0.8338, 0.2765)  1 B 2.10
Pt (0.3323, 0.1662, 0.7235)  1 B 2.10
Pt (0.5000, 0.0000, 0.0000)  2 B 2.16
Pt (0.5000, 0.5000, 0.0000)  2 B 2.16
Pt (0.6677, 0.8338, 0.2765)  1 B 2.10
Pt (0.8338, 0.1662, 0.7235)  1 B 2.10
Pt (0.8338, 0.6677, 0.7235)  1 B 2.10

Output
Calculated total energy, eV/atom: -6.436
Crystal system: trigonal
Calculated density, Mg/m³: 14.003